[1]
Rb2BaMoS4 | PBE | optimized geometry

Results
As for the calculated density: 3.076 g cm⁻³. Its crystal system is tetragonal. The value obtained for the magnetic moment is 2.00 μB/f.u. The formation energy from raw total energies is -1.04 eV per atom. The final energy comes out at -4.941 eV/atom.

abc: 7.934 7.934 9.134
angles: 90.00 90.00 90.00
Space group I-4 (No. 82)
Asymmetric unit:
Rb 0.000 0.000 0.000
Rb 0.000 0.500 0.250
Ba 0.000 0.000 0.500
Mo 0.000 0.500 0.750
S 0.167 0.316 0.619

---

[2]
V4NiS8 | PBE | optimized geometry

Results
As for the calculated density: 4.151 g cm⁻³. Its crystal system is monoclinic. The value obtained for the magnetic moment is 2.73 μB/f.u. The formation energy from raw total energies is -0.82 eV per atom. The final energy comes out at -6.609 eV/atom.

abc: 11.168 6.597 7.856
angles: 90.00 134.17 90.00
Space group C2/m (No. 12)
Asymmetric unit:
V 0.000 0.217 0.000
V 0.234 0.000 0.475
Ni 0.000 0.500 0.500
S 0.029 0.500 0.830
S 0.054 0.000 0.832
S 0.207 0.250 0.672

---

[3]
NaZn2PW | PBE | optimized geometry

Results
As for the calculated density: 6.171 g cm⁻³. For the formation energy from the elements, the calculation gives 1.7036 eV per atom. Its crystal system is tetragonal. The value obtained for the magnetic moment is 2.98 μB/f.u. The final energy comes out at -2.742 eV/atom.

abc: 4.586 4.586 4.715
angles: 90.00 90.00 90.00
Space group P4/mmm (No. 123)
Asymmetric unit:
Na 0.000 0.000 0.000
Zn 0.000 0.500 0.000
P 0.000 0.000 0.500
W 0.500 0.500 0.500

---

[4]
LiCdRe2 | PBE | optimized geometry

Results
As for the calculated density: 12.751 g cm⁻³. For the formation energy from the elements, the calculation gives 0.6736 eV per atom. Its crystal system is tetragonal. The value obtained for the magnetic moment is 0.00 μB/f.u. The final energy comes out at -6.258 eV/atom.

abc: 2.627 2.627 9.280
angles: 90.00 90.00 90.00
Space group P4/mmm (No. 123)
Asymmetric unit:
Li 0.000 0.000 0.000
Cd 0.000 0.000 0.500
Re 0.500 0.500 0.240

---

[5]
Pu2RuRh | PBE | optimized geometry

Results
As for the calculated density: 13.494 g cm⁻³. For the formation energy from the elements, the calculation gives -0.1428 eV per atom. Its crystal system is trigonal. The value obtained for the magnetic moment is 9.01 μB/f.u. The final energy comes out at -11.466 eV/atom.

abc: 3.9120 3.9120 19.2748
angles: 90.00 90.00 120.00
Space group R-3m (No. 166, hexagonal axes)
Asymmetric unit:
Pu 0.0000 0.0000 0.2475
Ru 0.0000 0.0000 0.5000
Rh 0.0000 0.0000 0.0000

---

[6]
CeSm2Ge2 | PBE | optimized geometry

Results
As for the calculated density: 7.428 g cm⁻³. For the formation energy from the elements, the calculation gives -0.5994 eV per atom. Its crystal system is monoclinic. The value obtained for the magnetic moment is 0.90 μB/f.u. The final energy comes out at -5.521 eV/atom.

abc: 12.550 4.452 10.567
angles: 90.00 117.42 90.00
Space group C2/m (No. 12)
Asymmetric unit:
Ce 0.215 0.000 0.356
Sm 0.011 0.500 0.683
Sm 0.184 0.500 0.092
Ge 0.036 0.000 0.899
Ge 0.116 0.000 0.569

---

[7]
ZrTa2H8 | PBE | optimized geometry

Results
As for the calculated density: 9.916 g cm⁻³. Its crystal system is monoclinic. The value obtained for the magnetic moment is 0.00 μB/f.u. The final energy comes out at -5.446 eV/atom.

abc: 10.358 4.559 3.430
angles: 90.00 107.54 90.00
Space group C2/m (No. 12)
Asymmetric unit:
Zr 0.000 0.000 0.000
Ta 0.174 0.500 0.649
H 0.000 0.274 0.500
H 0.167 0.270 0.115
H 0.169 0.000 0.536

---

[8]
GeBCl2 | PBE | optimized geometry

Results
As for the calculated density: 3.440 g cm⁻³. The value obtained for the relative energy among the computed polymorphs is 0.452 eV/atom. Its crystal system is cubic. The value obtained for the magnetic moment is 0.00 μB/f.u. The formation energy from raw total energies is 0.85 eV per atom. The final energy comes out at -2.894 eV/atom.

abc: 6.680 6.680 6.680
angles: 90.00 90.00 90.00
Space group Fm-3m (No. 225)
Asymmetric unit:
Ge 0.000 0.000 0.000
B 0.000 0.000 0.500
Cl 0.250 0.250 0.250

---

[9]
SrLa2Sc | PBE | optimized geometry

Results
As for the calculated density: 4.653 g cm⁻³. The value obtained for the relative energy among the computed polymorphs is 0.133 eV/atom. For the formation energy from the elements, the calculation gives 0.2318 eV per atom. Its crystal system is tetragonal. The value obtained for the magnetic moment is 0.00 μB/f.u. The final energy comes out at -4.235 eV/atom.

abc: 5.891 5.891 4.220
angles: 90.00 90.00 90.00
Space group P4/mmm (No. 123)
Asymmetric unit:
Sr 0.000 0.000 0.000
La 0.000 0.500 0.500
Sc 0.500 0.500 0.000

---

[10]
Cu2SbPt | PBE | optimized geometry

Results
As for the calculated density: 11.578 g cm⁻³. Its crystal system is cubic. The value obtained for the magnetic moment is 0.00 μB/f.u. The formation energy from raw total energies is -0.05 eV per atom. The final energy comes out at -4.642 eV/atom.

abc: 6.339 6.339 6.339
angles: 90.00 90.00 90.00
Space group F-43m (No. 216)
Asymmetric unit:
Cu 0.000 0.000 0.000
Cu 0.250 0.250 0.250
Sb 0.000 0.000 0.500
Pt 0.250 0.250 0.750

---

[11]
CrIn2Ir | PBE | optimized geometry

Results
As for the calculated density: 11.101 g cm⁻³. The value obtained for the relative energy among the computed polymorphs is 0.074 eV/atom. For the formation energy from the elements, the calculation gives 0.1433 eV per atom. Its crystal system is tetragonal. The value obtained for the magnetic moment is 3.47 μB/f.u. The final energy comes out at -5.847 eV/atom.

abc: 4.263 4.263 3.900
angles: 90.00 90.00 90.00
Space group P4/mmm (No. 123)
Asymmetric unit:
Cr 0.000 0.000 0.000
In 0.000 0.500 0.500
Ir 0.500 0.500 0.000

---

[12]
Rb2CaTaI6 | PBE | optimized geometry

Results
As for the calculated density: 4.475 g cm⁻³. Its crystal system is cubic. The value obtained for the magnetic moment is 3.00 μB/f.u. The formation energy from raw total energies is -0.93 eV per atom. The final energy comes out at -3.442 eV/atom.

abc: 11.962 11.962 11.962
angles: 90.00 90.00 90.00
Space group Fm-3m (No. 225)
Asymmetric unit:
Rb 0.250 0.250 0.250
Ca 0.000 0.000 0.000
Ta 0.000 0.000 0.500
I 0.000 0.000 0.259

---

[13]
NbCrW | PBE | optimized geometry

Results
As for the calculated density: 11.805 g cm⁻³. The value obtained for the relative energy among the computed polymorphs is 0.048 eV/atom. For the formation energy from the elements, the calculation gives 0.0695 eV per atom. Its crystal system is monoclinic. The value obtained for the magnetic moment is 0.00 μB/f.u. The final energy comes out at -10.813 eV/atom.

abc: 2.757 4.412 7.603
angles: 90.00 90.15 90.00
Space group Pm (No. 6)
Asymmetric unit:
Nb 0.000 0.000 0.000
Nb 0.337 0.000 0.360
Cr 0.333 0.500 0.845
Cr 0.666 0.000 0.687
W 0.663 0.500 0.180
W 0.998 0.500 0.536

---

[14]
BeTc2P | PBE | optimized geometry

Results
As for the calculated density: 8.099 g cm⁻³. The value obtained for the relative energy among the computed polymorphs is 0.058 eV/atom. For the formation energy from the elements, the calculation gives -0.3681 eV per atom. Its crystal system is tetragonal. The value obtained for the magnetic moment is 0.00 μB/f.u. The final energy comes out at -7.835 eV/atom.

abc: 2.976 2.976 5.465
angles: 90.00 90.00 90.00
Space group P4mm (No. 99)
Asymmetric unit:
Be 0.000 0.000 0.000
Tc 0.000 0.000 0.457
Tc 0.500 0.500 0.781
P 0.500 0.500 0.221

---

[15]
ZrRu2Rh | PBE | optimized geometry

Results
As for the calculated density: 10.414 g cm⁻³. For the formation energy from the elements, the calculation gives 0.1838 eV per atom. Its crystal system is trigonal. The value obtained for the magnetic moment is 0.00 μB/f.u. The final energy comes out at -8.429 eV/atom.

abc: 2.7980 2.7980 27.9590
angles: 90.00 90.00 120.00
Space group R-3m (No. 166, hexagonal axes)
Asymmetric unit:
Zr 0.0000 0.0000 0.0000
Ru 0.0000 0.0000 0.2441
Rh 0.0000 0.0000 0.5000

---

[16]
TaZn2Co | PBE | optimized geometry

Results
As for the calculated density: 10.999 g cm⁻³. The value obtained for the relative energy among the computed polymorphs is 0.129 eV/atom. For the formation energy from the elements, the calculation gives 0.0514 eV per atom. Its crystal system is tetragonal. The value obtained for the magnetic moment is 0.66 μB/f.u. The final energy comes out at -5.325 eV/atom.

abc: 2.896 2.896 6.675
angles: 90.00 90.00 90.00
Space group P4/mmm (No. 123)
Asymmetric unit:
Ta 0.000 0.000 0.000
Zn 0.500 0.500 0.288
Co 0.000 0.000 0.500

---

[17]
Ti6VPb2 | PBE | optimized geometry

Results
As for the calculated density: 7.329 g cm⁻³. For the formation energy from the elements, the calculation gives -0.0160 eV per atom. Its crystal system is hexagonal. The value obtained for the magnetic moment is 0.00 μB/f.u. The final energy comes out at -7.117 eV/atom.

abc: 7.7071 7.7071 3.3144
angles: 90.00 90.00 120.00
Space group P-62m (No. 189)
Asymmetric unit:
Ti 0.0000 0.3551 0.0000
Ti 0.0000 0.7554 0.5000
V 0.0000 0.0000 0.0000
Pb 0.3333 0.6667 0.5000

---

[18]
NpP2IrRu | PBE | optimized geometry

Results
As for the calculated density: 12.485 g cm⁻³. For the formation energy from the elements, the calculation gives -0.6810 eV per atom. Its crystal system is tetragonal. The value obtained for the magnetic moment is 3.80 μB/f.u. The final energy comes out at -9.061 eV/atom.

abc: 3.974 3.974 9.977
angles: 90.00 90.00 90.00
Space group I-4m2 (No. 119)
Asymmetric unit:
Np 0.000 0.000 0.000
P 0.000 0.000 0.384
Ir 0.000 0.500 0.250
Ru 0.000 0.500 0.750

---

[19]
Ca3Ga4Sn | PBE | optimized geometry

Results
As for the calculated density: 3.836 g cm⁻³. For the formation energy from the elements, the calculation gives -0.2574 eV per atom. Its crystal system is orthorhombic. The value obtained for the magnetic moment is 0.00 μB/f.u. The final energy comes out at -3.022 eV/atom.

abc: 4.716 5.433 17.500
angles: 90.00 90.00 90.00
Space group Immm (No. 71)
Asymmetric unit:
Ca 0.000 0.000 0.000
Ca 0.000 0.500 0.207
Ga 0.000 0.271 0.369
Sn 0.000 0.000 0.500